(1)
{
  "formula": "TlTe2Ru",
  "functional": "PBE",
  "state": "relaxed",
  "cell": [[5.5171, -0.0211, 0.0000], [1.7055, 5.2470, 0.0000], [-3.6113, -2.6129, 3.2512]],
  "species": ["Ru", "Te", "Te", "Tl"],
  "frac_coords": [[0.7500, 0.2500, 0.5000], [0.0000, 0.0000, 0.0000], [0.2500, 0.7500, 0.5000], [0.5000, 0.5000, 0.0000]]
}

=====

(2)
{
  "formula": "TlTeRu",
  "functional": "PBE",
  "state": "relaxed",
  "cell": [[7.2466, -0.0191, 0.0200], [6.5238, 3.1550, 0.0277], [0.7228, 0.1571, 3.1703]],
  "species": ["Te", "Ru", "Tl"],
  "frac_coords": [[0.3804, 0.3804, 0.6196], [0.9787, 0.9787, 0.0213], [0.6409, 0.6409, 0.3591]]
}

=====

(3)
{
  "formula": "TlTeRu",
  "functional": "PBE",
  "state": "relaxed",
  "cell": [[4.6294, 0.0000, 0.0000], [2.3147, 4.0092, 0.0000], [2.3147, 1.3364, 3.7799]],
  "species": ["Tl", "Te", "Ru"],
  "frac_coords": [[0.5000, 0.5000, 0.5000], [0.0000, 0.0000, 0.0000], [0.7500, 0.7500, 0.7500]]
}

=====

(4)
{
  "formula": "Tl2TeRu",
  "functional": "PBE",
  "state": "relaxed",
  "cell": [[-0.1931, 4.2882, 4.0304], [-4.9008, -0.5360, -3.2194], [-1.1609, -2.0311, 2.1054]],
  "species": ["Ru", "Te", "Tl", "Tl"],
  "frac_coords": [[0.5000, 0.0000, 0.5000], [0.0000, 0.5000, 0.5000], [0.5000, 0.5000, 0.0000], [0.0000, 0.0000, 0.0000]]
}

=====

Calculated excess energy over the best structure of this formula in the dataset (meV/atom), listed in the same order as above: 761, 158, 306, 494
Calculated formation energy from raw total energies (eV per atom), listed in the same order as above: 0.66, 0.14, 0.29, 0.63